Here is a geometry-optimized PmYZnRu structure from the Alexandria database. Energies are from PBE.

Cell: 4.9900 4.9900 4.9900 Å, 60.00 60.00 60.00°
Fractional positions:
Pm (0.0000, 0.0000, 0.0000)
Y (0.5000, 0.5000, 0.5000)
Zn (0.7500, 0.7500, 0.7500)
Ru (0.2500, 0.2500, 0.2500)

Computed properties:
Energy above the most stable polymorph in this dataset = 0 meV/atom
M_tot = 0.000 μB per atom
ρ = 7.6 g/cm³